Entry 1:
The following is a PBE calculation of a relaxed structure of Al2AsOs, from the Alexandria database.

a b c (Å): 3.2250 4.1351 4.6293
angles (deg): 90.00 90.00 90.00
Space group Pmmm (No. 47)
Inequivalent atoms, fractional coordinates:
1 Al 0.0000 0.0000 0.0000 (multiplicity 1)
2 Al 0.5000 0.0000 0.5000 (multiplicity 1)
3 As 0.0000 0.5000 0.5000 (multiplicity 1)
4 Os 0.5000 0.5000 0.0000 (multiplicity 1)

Calculated formation energy (meV/atom): 139
Magnetic moment (μB/f.u.): 0.0



Entry 2:
The following is a PBE calculation of a relaxed structure of Al2AsOs, from the Alexandria database.

a b c (Å): 2.9722 2.9722 24.8370
angles (deg): 90.00 90.00 120.00
Space group R-3m (No. 166, hexagonal axes)
Inequivalent atoms, fractional coordinates:
1 Al 0.0000 0.0000 0.2426 (multiplicity 6)
2 As 0.0000 0.0000 0.0000 (multiplicity 3)
3 Os 0.0000 0.0000 0.5000 (multiplicity 3)

Calculated formation energy (meV/atom): -76
Magnetic moment (μB/f.u.): 0.0



Entry 3:
The following is a PBE calculation of a relaxed structure of AlAs3Os, from the Alexandria database.

a b c (Å): 4.6776 4.6776 4.6776
angles (deg): 90.00 90.00 90.00
Space group Pm-3m (No. 221)
Inequivalent atoms, fractional coordinates:
1 Al 0.0000 0.0000 0.0000 (multiplicity 1)
2 As 0.0000 0.0000 0.5000 (multiplicity 3)
3 Os 0.5000 0.5000 0.5000 (multiplicity 1)

Calculated formation energy (meV/atom): 1369
Magnetic moment (μB/f.u.): 1.4
Distance to the lowest polymorph of the same formula (eV/f.u.): 3.14



Entry 4:
The following is a PBE calculation of a relaxed structure of Al2AsOs, from the Alexandria database.

a b c (Å): 3.0429 3.0429 24.2336
angles (deg): 90.00 90.00 120.00
Space group R3m (No. 160, hexagonal axes)
Inequivalent atoms, fractional coordinates:
1 Al 0.0000 0.0000 0.0000 (multiplicity 3)
2 Al 0.0000 0.0000 0.2431 (multiplicity 3)
3 As 0.0000 0.0000 0.7559 (multiplicity 3)
4 Os 0.0000 0.0000 0.4966 (multiplicity 3)

Calculated formation energy (meV/atom): 53
Magnetic moment (μB/f.u.): 0.0